# PBE KY2AgTe4, optimized geometry
# Formation energy from raw total energies   -1.153 eV per atom
# Total energy   -77.34 eV/cell
data_KY2AgTe4
_space_group_name_H-M_alt 'P 1'
_space_group_IT_number 1
_space_group_name_Hall 'P 1'
_cell_length_a 7.822
_cell_length_b 7.822
_cell_length_c 15.820
_cell_angle_alpha 90.00
_cell_angle_beta 90.00
_cell_angle_gamma 146.91
loop_
_atom_site_label
_atom_site_type_symbol
_atom_site_fract_x
_atom_site_fract_y
_atom_site_fract_z
_atom_site_occupancy
K1 K 0.126 0.874 0.750 1
K2 K 0.874 0.126 0.250 1
Y1 Y 0.369 0.631 0.570 1
Y2 Y 0.369 0.631 0.930 1
Y3 Y 0.631 0.369 0.070 1
Y4 Y 0.631 0.369 0.430 1
Ag1 Ag 0.159 0.841 0.250 1
Ag2 Ag 0.841 0.159 0.750 1
Te1 Te 0.000 0.000 0.000 1
Te2 Te 0.000 0.000 0.500 1
Te3 Te 0.268 0.732 0.105 1
Te4 Te 0.268 0.732 0.395 1
Te5 Te 0.452 0.548 0.750 1
Te6 Te 0.548 0.452 0.250 1
Te7 Te 0.732 0.268 0.605 1
Te8 Te 0.732 0.268 0.895 1